# 1
# CaNbFe2O6 | Alexandria | PBE+U | relaxed
# **Raw total energy**: -7.495 eV per atom
data_CaNbFe2O6
_chemical_formula_sum 'Ca1 Nb1 Fe2 O6'
_cell_length_a 5.347
_cell_length_b 5.352
_cell_length_c 5.788
_cell_angle_alpha 116.76
_cell_angle_beta 90.85
_cell_angle_gamma 119.73
_space_group_name_H-M_alt 'P 1'
_space_group_IT_number 1
_space_group_name_Hall 'P 1'
loop_
_atom_site_label
_atom_site_type_symbol
_atom_site_fract_x
_atom_site_fract_y
_atom_site_fract_z
_atom_site_occupancy
Ca1 Ca 0.000 0.000 0.000 1
Nb1 Nb 0.492 0.980 0.467 1
Fe1 Fe 0.287 0.567 0.846 1
Fe2 Fe 0.785 0.568 0.351 1
O1 O 0.084 0.733 0.175 1
O2 O 0.210 0.771 0.639 1
O3 O 0.441 0.522 0.166 1
O4 O 0.578 0.433 0.635 1
O5 O 0.657 0.097 0.177 1
O6 O 0.864 0.056 0.634 1

# 2
# Ca2Nb2FeO8 | Alexandria | PBE+U | relaxed
# **Raw total energy**: -7.900 eV per atom
data_Ca2Nb2FeO8
_chemical_formula_sum 'Ca8 Nb8 Fe4 O32'
_cell_length_a 19.156
_cell_length_b 6.292
_cell_length_c 5.543
_cell_angle_alpha 90.00
_cell_angle_beta 91.01
_cell_angle_gamma 90.00
_space_group_name_H-M_alt 'C 1 2/c 1'
_space_group_IT_number 15
_space_group_name_Hall '-C 2yc'
loop_
_atom_site_label
_atom_site_type_symbol
_atom_site_fract_x
_atom_site_fract_y
_atom_site_fract_z
_atom_site_occupancy
Ca1 Ca 0.208 0.190 0.245 1
Nb1 Nb 0.111 0.344 0.764 1
Fe1 Fe 0.000 0.137 0.250 1
O1 O 0.057 0.145 0.597 1
O2 O 0.071 0.372 0.099 1
O3 O 0.183 0.441 0.518 1
O4 O 0.184 0.144 0.850 1

# 3
# Ca2NbFeO6 | Alexandria | PBE+U | relaxed
# **Distance to the lowest polymorph of the same formula**: 199 meV per atom
data_Ca2NbFeO6
_chemical_formula_sum 'Ca2 Nb1 Fe1 O6'
_cell_length_a 5.470
_cell_length_b 5.472
_cell_length_c 5.498
_cell_angle_alpha 90.37
_cell_angle_beta 119.81
_cell_angle_gamma 119.58
_space_group_name_H-M_alt 'P -1'
_space_group_IT_number 2
_space_group_name_Hall '-P 1'
loop_
_atom_site_label
_atom_site_type_symbol
_atom_site_fract_x
_atom_site_fract_y
_atom_site_fract_z
_atom_site_occupancy
Ca1 Ca 0.015 0.252 0.268 1
Nb1 Nb 0.500 0.500 0.000 1
Fe1 Fe 0.500 0.000 0.500 1
O1 O 0.006 0.802 0.301 1
O2 O 0.411 0.753 0.163 1
O3 O 0.498 0.703 0.697 1

# 4
# SrCaNbFeO6 | Alexandria | PBE+U | relaxed
# **Raw total energy**: -7.171 eV per atom
data_SrCaNbFeO6
_chemical_formula_sum 'Sr4 Ca4 Nb4 Fe4 O24'
_cell_length_a 7.849
_cell_length_b 7.849
_cell_length_c 7.849
_cell_angle_alpha 90.00
_cell_angle_beta 90.00
_cell_angle_gamma 90.00
_space_group_name_H-M_alt 'F -4 3 m'
_space_group_IT_number 216
_space_group_name_Hall 'F -4 2 3'
loop_
_atom_site_label
_atom_site_type_symbol
_atom_site_fract_x
_atom_site_fract_y
_atom_site_fract_z
_atom_site_occupancy
Sr1 Sr 0.000 0.000 0.000 1
Ca1 Ca 0.000 0.000 0.500 1
Nb1 Nb 0.250 0.250 0.750 1
Fe1 Fe 0.250 0.250 0.250 1
O1 O 0.004 0.250 0.250 1

Q: What is the formula in the fourth record?
A: SrCaNbFeO6

Q: What is the formula in the fourth record?
A: SrCaNbFeO6